CePr3Tl4: optimized geometry, PBE.

Spin magnetization: 0.1469 μB per atom
Excess energy over the best structure of this formula in the dataset: 0 meV per atom
DOS at the Fermi energy: 1.80 states/eV per atom
Mass density: 9.45 Mg/m³
DFT total energy: -32.50 eV/cell
Calculated formation energy: -346 meV/atom

Cell lengths 3.914, 3.914, 15.831 Å; angles 90.00, 90.00, 90.00 degrees
Element x y z (fractional)
Ce  0.000  0.000  0.000
Pr  0.000  0.000  0.249
Pr  0.000  0.000  0.500
Pr  0.000  0.000  0.751
Tl  0.500  0.500  0.124
Tl  0.500  0.500  0.374
Tl  0.500  0.500  0.626
Tl  0.500  0.500  0.876

Li2ReGe: optimized geometry, PBE.

Spin magnetization: 0.0000 μB per atom
Excess energy over the best structure of this formula in the dataset: 0 meV per atom
DOS at the Fermi energy: 0.67 states/eV per atom
Mass density: 7.72 Mg/m³
DFT total energy: -37.88 eV/cell
Calculated formation energy: 488 meV/atom

Cell lengths 5.474, 5.474, 5.474 Å; angles 101.55, 101.55, 126.85 degrees
Element x y z (fractional)
Li  0.109  0.125  0.484
Li  0.375  0.891  0.016
Li  0.641  0.625  0.516
Li  0.875  0.359  0.984
Re  0.250  0.750  0.500
Re  0.500  0.500  0.000
Ge  0.000  0.000  0.000
Ge  0.750  0.250  0.500

ZrCo3Ge: optimized geometry, PBE.

Spin magnetization: 0.5573 μB per atom
Excess energy over the best structure of this formula in the dataset: 575 meV per atom
DOS at the Fermi energy: 1.08 states/eV per atom
Mass density: 7.16 Mg/m³
DFT total energy: -32.69 eV/cell
Calculated formation energy: 358 meV/atom

Cell lengths 4.291, 4.291, 4.291 Å; angles 90.00, 90.00, 90.00 degrees
Element x y z (fractional)
Zr  0.000  0.000  0.000
Co  0.000  0.500  0.500
Co  0.500  0.000  0.500
Co  0.500  0.500  0.000
Ge  0.500  0.500  0.500

Rb2TiCl7: optimized geometry, PBE.

Spin magnetization: 0.0000 μB per atom
DOS at the Fermi energy: 0.17 states/eV per atom
Mass density: 2.57 Mg/m³
DFT total energy: -36.70 eV/cell
E_form (uncorrected): -1.39 eV per atom

Cell lengths 7.340, 7.340, 7.340 Å; angles 112.57, 112.57, 103.44 degrees
Element x y z (fractional)
Rb  0.250  0.750  0.500
Rb  0.750  0.250  0.500
Ti  0.000  0.000  0.000
Cl  0.208  0.208  0.416
Cl  0.208  0.792  0.000
Cl  0.244  0.244  0.000
Cl  0.500  0.500  0.000
Cl  0.756  0.756  0.000
Cl  0.792  0.208  0.000
Cl  0.792  0.792  0.584

What is the mass density in the first record? 9.45 Mg/m³

mass density of number 1 (CePr3Tl4)? 9.45 Mg/m³

The highest mass density belongs to which entry? CePr3Tl4